# 1
Here is an optimized crystal structure of Ga2CuPd6 from the Alexandria database. Energies are from PBE-GGA.

Values from the calculation:
- Calculated formation energy: -0.45 eV/atom
- Calculated total energy: -5.042 eV/atom
- Calculated volume: 14.766 A^3/atom
- Crystal system: tetragonal
- Space group: No. 136

Unit cell a=4.1405 b=8.0119 c=8.0120 alpha=90.00 beta=90.00 gamma=90.00
Element x y z (fractional)
Pd 0.5000 0.1757 0.9769
Ga 0.5001 0.1955 0.3043
Cu 0.0000 0.0000 0.5000
Pd 0.9999 0.9771 0.8243
Ga 0.9999 0.6955 0.1957
Pd 0.5000 0.8243 0.0231
Pd 0.0000 0.6757 0.5231
Cu 0.5000 0.5000 0.0000
Pd 0.0000 0.3243 0.4769
Pd 0.5001 0.4771 0.6757
Pd 0.0000 0.6314 0.8688
Pd 0.5000 0.1314 0.6312
Ga 0.4999 0.8045 0.6957
Pd 0.4999 0.5229 0.3243
Ga 0.0001 0.3045 0.8043
Pd 0.5000 0.8686 0.3688
Pd 0.0000 0.3686 0.1312
Pd 0.0001 0.0229 0.1757

---

# 2
Here is an optimized crystal structure of KNi4Hg from the Alexandria database. Energies are from PBE-GGA.

Values from the calculation:
- Calculated formation energy: 0.42 eV/atom
- Calculated total energy: -3.671 eV/atom
- Calculated volume: 15.489 A^3/atom
- Crystal system: cubic
- Space group: No. 216

Unit cell a=5.0843 b=5.0843 c=5.0843 alpha=60.00 beta=60.00 gamma=60.00
Last column: magnetic moment on the atom in μB.
Element x y z (fractional)
Ni 0.8731 0.3756 0.3756  0.53
Ni 0.3756 0.8731 0.3756  0.53
Ni 0.3756 0.3756 0.8731  0.53
Hg 0.7500 0.7500 0.7500  0.00
Ni 0.3756 0.3756 0.3756  0.53
K 0.0000 0.0000 0.0000  -0.01

---

# 3
Here is an optimized crystal structure of TlCoI4 from the Alexandria database. Energies are from PBE-GGA.

Values from the calculation:
- Calculated total energy: -2.826 eV/atom
- Calculated volume: 45.041 A^3/atom
- Crystal system: orthorhombic
- Space group: No. 20
- Formation energy from raw total energies: -214 meV per atom

Unit cell a=7.0497 b=7.0497 c=12.0422 alpha=90.00 beta=90.00 gamma=115.43
Last column: magnetic moment on the atom in μB.
Element x y z (fractional)
I 0.5376 0.1960 0.0172  0.24
Tl 0.2434 0.7566 0.2500  0.02
Co 0.5621 0.5621 0.0000  2.42
I 0.2221 0.2642 0.3305  0.23
I 0.7358 0.7779 0.1695  0.23
I 0.1960 0.5376 0.9828  0.24
I 0.7779 0.7358 0.8305  0.23
I 0.8040 0.4624 0.4828  0.24
I 0.4624 0.8040 0.5172  0.24
Co 0.4379 0.4379 0.5000  2.42
I 0.2642 0.2221 0.6695  0.23
Tl 0.7566 0.2434 0.7500  0.02

---

# 4
Here is an optimized crystal structure of CsNa3C from the Alexandria database. Energies are from PBE-GGA.

Values from the calculation:
- Calculated formation energy: 1.85 eV/atom
- Offset from the most stable computed form: 1.057 eV per atom
- Calculated total energy: -0.961 eV/atom
- Calculated volume: 81.064 A^3/atom
- Crystal system: cubic
- Space group: No. 221

Unit cell a=7.4006 b=7.4006 c=7.4006 alpha=90.00 beta=90.00 gamma=90.00
Last column: magnetic moment on the atom in μB.
Element x y z (fractional)
C 0.5000 0.5000 0.5000  1.07
Na 0.0000 0.5000 0.0000  -0.02
Na 0.5000 0.0000 0.0000  -0.06
Na 0.0000 0.0000 0.5000  0.00
Cs 0.0000 0.0000 0.0000  -0.02

---

# 5
Here is an optimized crystal structure of TiGeAs3 from the Alexandria database. Energies are from PBE-GGA.

Values from the calculation:
- Calculated formation energy: 0.82 eV/atom
- Offset from the most stable computed form: 0.565 eV per atom
- Calculated total energy: -4.471 eV/atom
- Calculated volume: 22.790 A^3/atom
- Crystal system: cubic
- Space group: No. 221

Unit cell a=4.8481 b=4.8481 c=4.8481 alpha=90.00 beta=90.00 gamma=90.00
Element x y z (fractional)
As 0.5000 0.0000 0.0000
As 0.0000 0.0000 0.5000
Ti 0.5000 0.5000 0.5000
Ge 0.0000 0.0000 0.0000
As 0.0000 0.5000 0.0000

---

# 6
Here is an optimized crystal structure of GeSeBr2 from the Alexandria database. Energies are from PBE-GGA.

Values from the calculation:
- Offset from the most stable computed form: 0.069 eV per atom
- Calculated total energy: -3.269 eV/atom
- Calculated volume: 38.945 A^3/atom
- Crystal system: triclinic
- Space group: No. 1
- Formation energy from raw total energies: -407 meV per atom

Unit cell a=5.0720 b=6.9816 c=9.7944 alpha=104.03 beta=101.03 gamma=105.63
Element x y z (fractional)
Se 0.7412 0.6382 0.2507
Se 0.3999 0.4334 0.3428
Br 0.6589 0.0573 0.0595
Br 0.9539 0.7937 0.6771
Br 0.9851 0.1966 0.4908
Br 0.0931 0.4995 0.9591
Ge 0.1814 0.9038 0.5018
Ge 0.9809 0.3943 0.1548

---

# 7
Here is an optimized crystal structure of BaInH5 from the Alexandria database. Energies are from PBE-GGA.

Values from the calculation:
- Calculated total energy: -3.143 eV/atom
- Calculated volume: 13.002 A^3/atom
- Crystal system: monoclinic
- Space group: No. 15

Unit cell a=5.1813 b=5.1813 c=7.9292 alpha=99.74 beta=102.86 gamma=113.61
Element x y z (fractional)
H 0.6836 0.9481 0.0908
Ba 0.7524 0.5024 0.2500
In 0.5000 0.0000 0.5000
Ba 0.2476 0.4976 0.7500
H 0.1558 0.8952 0.5779
H 0.3164 0.0519 0.9092
H 0.7475 0.9975 0.7500
In 0.0000 0.0000 0.0000
H 0.8442 0.1048 0.4221
H 0.8173 0.5779 0.9221
H 0.6427 0.4073 0.5908
H 0.2525 0.0025 0.2500
H 0.3573 0.5927 0.4092
H 0.1827 0.4221 0.0779

---

# 8
Here is an optimized crystal structure of Al2Cu3Ni3 from the Alexandria database. Energies are from PBE-GGA.

Values from the calculation:
- Calculated formation energy: -0.34 eV/atom
- Offset from the most stable computed form: 0.000 eV per atom
- Calculated total energy: -4.981 eV/atom
- Calculated volume: 11.812 A^3/atom
- Crystal system: orthorhombic
- Space group: No. 47

Unit cell a=3.6520 b=3.7044 c=6.9849 alpha=90.00 beta=90.00 gamma=90.00
Element x y z (fractional)
Al 0.0000 0.0000 0.2575
Cu 0.5000 0.5000 0.7476
Cu 0.0000 0.5000 0.0000
Cu 0.5000 0.5000 0.2524
Al 0.0000 0.0000 0.7425
Ni 0.0000 0.5000 0.5000
Ni 0.5000 0.0000 0.5000
Ni 0.5000 0.0000 0.0000

---

# 9
Here is an optimized crystal structure of LuMgRu from the Alexandria database. Energies are from PBE-GGA.

Values from the calculation:
- Calculated formation energy: -0.25 eV/atom
- Calculated total energy: -5.379 eV/atom
- Calculated volume: 20.085 A^3/atom
- Crystal system: tetragonal
- Space group: No. 107

Unit cell a=3.3548 b=3.3548 c=5.8558 alpha=106.65 beta=106.65 gamma=90.00
Element x y z (fractional)
Ru 0.6652 0.6652 0.3303
Mg 0.0292 0.0292 0.0585
Lu 0.3056 0.3056 0.6112

---

# 10
Here is an optimized crystal structure of HfZn3 from the Alexandria database. Energies are from PBE-GGA.

Values from the calculation:
- Calculated formation energy: -0.19 eV/atom
- Calculated total energy: -3.639 eV/atom
- Calculated volume: 16.155 A^3/atom
- Crystal system: hexagonal
- Space group: No. 194

Unit cell a=5.8290 b=5.8290 c=4.3922 alpha=90.00 beta=90.00 gamma=120.00
Element x y z (fractional)
Zn 0.6803 0.8401 0.2500
Zn 0.8401 0.6803 0.7500
Zn 0.1599 0.8401 0.2500
Zn 0.1599 0.3197 0.2500
Zn 0.3197 0.1599 0.7500
Zn 0.8401 0.1599 0.7500
Hf 0.6667 0.3333 0.2500
Hf 0.3333 0.6667 0.7500

---

# 11
Here is an optimized crystal structure of Ti6Mn5Ni from the Alexandria database. Energies are from PBE-GGA.

Values from the calculation:
- Calculated formation energy: -0.29 eV/atom
- Calculated total energy: -8.542 eV/atom
- Calculated volume: 13.291 A^3/atom
- Crystal system: monoclinic
- Space group: No. 12

Unit cell a=4.2359 b=5.9800 c=7.2825 alpha=114.24 beta=106.84 gamma=90.00
Last column: magnetic moment on the atom in μB.
Element x y z (fractional)
Ti 0.8308 0.5773 0.6615  -0.22
Mn 0.3341 0.3340 0.6681  0.75
Ti 0.8307 0.0842 0.6615  -0.22
Mn 0.6668 0.1666 0.3331  0.62
Ti 0.1693 0.9158 0.3385  -0.22
Ni 0.0000 0.0000 0.0000  0.04
Ti 0.5000 0.7438 0.0000  -0.22
Mn 0.6659 0.6660 0.3319  0.75
Ti 0.1692 0.4227 0.3385  -0.22
Mn 0.3332 0.8334 0.6669  0.62
Ti 0.5000 0.2562 0.0000  -0.22
Mn 0.0000 0.5000 0.0000  0.64

---

# 12
Here is an optimized crystal structure of CsZn2Pd from the Alexandria database. Energies are from PBE-GGA.

Values from the calculation:
- Calculated formation energy: -0.04 eV/atom
- Offset from the most stable computed form: 0.182 eV per atom
- Calculated total energy: -2.191 eV/atom
- Calculated volume: 34.370 A^3/atom
- Crystal system: tetragonal
- Space group: No. 141

Unit cell a=5.9049 b=5.9049 c=8.9229 alpha=70.68 beta=70.68 gamma=90.00
Element x y z (fractional)
Zn 0.3750 0.6254 0.7500
Zn 0.8750 0.6246 0.7500
Pd 0.5000 0.5000 0.0000
Zn 0.3754 0.6250 0.2500
Cs 0.0000 0.0000 0.0000
Cs 0.7500 0.2500 0.5000
Pd 0.2500 0.7500 0.5000
Zn 0.3746 0.1250 0.2500

---

# 13
Here is an optimized crystal structure of YBiH3 from the Alexandria database. Energies are from PBE-GGA.

Values from the calculation:
- Offset from the most stable computed form: 0.000 eV per atom
- Calculated total energy: -4.109 eV/atom
- Calculated volume: 14.384 A^3/atom
- Crystal system: cubic
- Space group: No. 221

Unit cell a=4.1587 b=4.1587 c=4.1587 alpha=90.00 beta=90.00 gamma=90.00
Element x y z (fractional)
H 0.0000 0.0000 0.5000
H 0.0000 0.5000 0.0000
H 0.5000 0.0000 0.0000
Bi 0.5000 0.5000 0.5000
Y 0.0000 0.0000 0.0000

---

# 14
Here is an optimized crystal structure of AgSnPt2 from the Alexandria database. Energies are from PBE-GGA.

Values from the calculation:
- Calculated formation energy: -0.19 eV/atom
- Calculated total energy: -4.928 eV/atom
- Calculated volume: 17.580 A^3/atom
- Crystal system: tetragonal
- Space group: No. 123

Unit cell a=3.4781 b=3.4781 c=5.8128 alpha=90.00 beta=90.00 gamma=90.00
Element x y z (fractional)
Sn 0.5000 0.5000 0.0000
Pt 0.0000 0.0000 0.7530
Ag 0.5000 0.5000 0.5000
Pt 0.0000 0.0000 0.2470

---

# 15
Here is an optimized crystal structure of Tm12Cu6Ag from the Alexandria database. Energies are from PBE-GGA.

Values from the calculation:
- Calculated formation energy: -0.18 eV/atom
- Offset from the most stable computed form: 0.000 eV per atom
- Calculated total energy: -4.451 eV/atom
- Calculated volume: 23.620 A^3/atom
- Crystal system: cubic
- Space group: No. 204

Unit cell a=8.3538 b=8.3538 c=8.3538 alpha=109.47 beta=109.47 gamma=109.47
Element x y z (fractional)
Ag 0.0000 0.0000 0.0000
Tm 0.8119 0.7076 0.5195
Cu 0.5000 0.1260 0.6260
Tm 0.7076 0.5195 0.8119
Cu 0.8740 0.3740 0.5000
Cu 0.3740 0.5000 0.8740
Cu 0.1260 0.6260 0.5000
Cu 0.6260 0.5000 0.1260
Tm 0.1881 0.7076 0.8957
Tm 0.8119 0.2924 0.1043
Tm 0.1881 0.2924 0.4805
Cu 0.5000 0.8740 0.3740
Tm 0.7076 0.8957 0.1881
Tm 0.1043 0.8119 0.2924
Tm 0.2924 0.1043 0.8119
Tm 0.8957 0.1881 0.7076
Tm 0.4805 0.1881 0.2924
Tm 0.5195 0.8119 0.7076
Tm 0.2924 0.4805 0.1881

---

# 16
Here is an optimized crystal structure of TmGaH2O4 from the Alexandria database. Energies are from PBE-GGA.

Values from the calculation:
- Calculated total energy: -6.208 eV/atom
- Calculated volume: 9.094 A^3/atom
- Crystal system: orthorhombic
- Space group: No. 23

Unit cell a=4.5598 b=4.6042 c=4.6042 alpha=72.37 beta=60.32 gamma=60.32
Element x y z (fractional)
O 0.4117 0.1646 0.4418
Ga 0.5000 0.5000 0.5000
H 0.1902 0.3098 0.3098
H 0.8098 0.6902 0.6902
Tm 0.0000 0.0000 0.0000
O 0.5883 0.5582 0.8354
O 0.0181 0.8354 0.5582
O 0.9819 0.4418 0.1646

---

# 17
Here is an optimized crystal structure of B2C from the Alexandria database. Energies are from PBE-GGA.

Values from the calculation:
- Calculated formation energy: 0.42 eV/atom
- Offset from the most stable computed form: 0.236 eV per atom
- Calculated total energy: -7.105 eV/atom
- Calculated volume: 7.085 A^3/atom
- Crystal system: monoclinic
- Space group: No. 12

Unit cell a=6.0146 b=6.0146 c=5.7064 alpha=69.34 beta=69.34 gamma=26.22
Element x y z (fractional)
C 0.7989 0.7989 0.2017
C 0.1240 0.1240 0.0739
B 0.8736 0.8736 0.3774
B 0.1264 0.1264 0.6226
B 0.5639 0.5639 0.2012
B 0.2062 0.2062 0.2637
B 0.5662 0.5662 0.5264
C 0.2011 0.2011 0.7983
B 0.4338 0.4338 0.4736
C 0.8760 0.8760 0.9261
B 0.4361 0.4361 0.7988
B 0.7938 0.7938 0.7363

---

# 18
Here is an optimized crystal structure of ScPaInPb from the Alexandria database. Energies are from PBE-GGA.

Values from the calculation:
- Calculated formation energy: -0.03 eV/atom
- Calculated total energy: -5.597 eV/atom
- Calculated volume: 25.732 A^3/atom
- Crystal system: cubic
- Space group: No. 216

Unit cell a=5.2604 b=5.2604 c=5.2604 alpha=60.00 beta=60.00 gamma=60.00
Last column: magnetic moment on the atom in μB.
Element x y z (fractional)
Pb 0.2500 0.2500 0.2500  0.01
Pa 0.5000 0.5000 0.5000  1.07
In 0.7500 0.7500 0.7500  0.02
Sc 0.0000 0.0000 0.0000  0.36

---

# 19
Here is an optimized crystal structure of MoAsIrRh2 from the Alexandria database. Energies are from PBE-GGA.

Values from the calculation:
- Calculated formation energy: 1.31 eV/atom
- Calculated total energy: -6.495 eV/atom
- Calculated volume: 20.658 A^3/atom
- Crystal system: tetragonal
- Space group: No. 123

Unit cell a=4.6739 b=4.7281 c=4.6739 alpha=90.00 beta=90.00 gamma=90.00
Element x y z (fractional)
Rh 0.0000 0.0000 0.5000
As 0.5000 0.5000 0.5000
Rh 0.5000 0.0000 0.0000
Ir 0.0000 0.5000 0.0000
Mo 0.0000 0.0000 0.0000

---

One value per record, in order, for total magnetic moment: 0.0000 0.3329 0.6761 0.3996 0.0003 0.0000 0.0000 0.0000 0.0000 0.0000 0.1655 0.0000 0.0000 0.0000 0.0000 0.0000 0.0000 0.4833 0.0000 μB per atom.